[1]
VASP calculation (PBE) on a relaxed Nb7As4 crystal.

The structure in POSCAR format:
```
Nb7As4
1.0
7.771 -1.769 0.000
7.771 1.769 0.000
-3.644 0.000 13.828
Nb As
14 8
direct
0.000 0.000 0.000
0.001 0.001 0.662
0.179 0.179 0.544
0.195 0.195 0.310
0.212 0.212 0.799
0.334 0.334 0.029
0.431 0.431 0.826
0.500 0.500 0.500
0.569 0.569 0.174
0.666 0.666 0.971
0.788 0.788 0.201
0.805 0.805 0.690
0.821 0.821 0.456
0.999 0.999 0.338
0.064 0.064 0.848
0.173 0.173 0.110
0.371 0.371 0.334
0.372 0.372 0.599
0.628 0.628 0.401
0.629 0.629 0.666
0.827 0.827 0.890
0.936 0.936 0.152
```

## Properties
total moment = 0.002 μB per formula unit
total DFT energy (no corrections) = -190.81 eV for the cell shown


[2]
VASP calculation (PBE) on a relaxed NbSnB2O6 crystal.

The structure in POSCAR format:
```
NbSnB2O6
1.0
2.509 1.449 5.302
-2.509 1.449 5.302
0.000 -2.897 5.302
Nb Sn B O
1 1 2 6
direct
0.000 0.000 0.000
0.500 0.500 0.500
0.259 0.259 0.259
0.741 0.741 0.741
0.013 0.555 0.205
0.205 0.013 0.555
0.445 0.795 0.987
0.555 0.205 0.013
0.795 0.987 0.445
0.987 0.445 0.795
```

## Properties
total moment = 0.999 μB per formula unit
total DFT energy (no corrections) = -78.04 eV for the cell shown


[3]
VASP calculation (PBE) on a relaxed SrDy2S3 crystal.

The structure in POSCAR format:
```
SrDy2S3
1.0
3.996 0.000 0.000
-1.998 3.461 0.000
0.000 0.000 9.898
Sr Dy S
1 2 3
direct
0.000 0.000 0.000
0.333 0.667 0.651
0.667 0.333 0.349
0.000 0.000 0.500
0.333 0.667 0.186
0.667 0.333 0.814
```

## Properties
total moment = 0.004 μB per formula unit
total DFT energy (no corrections) = -35.45 eV for the cell shown


[4]
VASP calculation (PBE) on a relaxed Na2H6IrAu crystal.

The structure in POSCAR format:
```
Na2H6IrAu
1.0
0.000 3.656 3.656
3.656 0.000 3.656
3.656 3.656 0.000
Na H Ir Au
2 6 1 1
direct
0.250 0.250 0.250
0.750 0.750 0.750
0.235 0.235 0.765
0.235 0.765 0.235
0.235 0.765 0.765
0.765 0.235 0.235
0.765 0.235 0.765
0.765 0.765 0.235
0.000 0.000 0.000
0.500 0.500 0.500
```

## Properties
total moment = 0.000 μB per formula unit
total DFT energy (no corrections) = -36.86 eV for the cell shown


[5]
VASP calculation (PBE) on a relaxed Dy5Sn4 crystal.

The structure in POSCAR format:
```
Dy5Sn4
1.0
9.334 0.000 0.000
-4.667 8.084 0.000
0.000 0.000 6.531
Dy Sn
10 8
direct
0.000 0.271 0.250
0.000 0.729 0.750
0.271 0.000 0.250
0.271 0.271 0.750
0.333 0.667 0.000
0.333 0.667 0.500
0.667 0.333 0.000
0.667 0.333 0.500
0.729 0.000 0.750
0.729 0.729 0.250
0.000 0.000 0.000
0.000 0.000 0.500
0.000 0.386 0.750
0.000 0.614 0.250
0.386 0.000 0.750
0.386 0.386 0.250
0.614 0.000 0.250
0.614 0.614 0.750
```

## Properties
total moment = 0.018 μB per formula unit
offset from the most stable computed form = 0.35 eV per formula unit
total DFT energy (no corrections) = -90.75 eV for the cell shown


[6]
VASP calculation (PBE) on a relaxed MgScGaPd crystal.

The structure in POSCAR format:
```
MgScGaPd
1.0
6.491 0.000 0.000
0.000 6.491 0.000
0.000 0.000 6.491
Mg Sc Ga Pd
4 4 4 4
direct
0.000 0.000 0.000
0.000 0.500 0.500
0.500 0.000 0.500
0.500 0.500 0.000
0.250 0.250 0.750
0.250 0.750 0.250
0.750 0.250 0.250
0.750 0.750 0.750
0.250 0.250 0.250
0.250 0.750 0.750
0.750 0.250 0.750
0.750 0.750 0.250
0.000 0.000 0.500
0.000 0.500 0.000
0.500 0.000 0.000
0.500 0.500 0.500
```

## Properties
total moment = 0.000 μB per formula unit
offset from the most stable computed form = 0.36 eV per formula unit
total DFT energy (no corrections) = -73.29 eV for the cell shown


[7]
VASP calculation (PBE) on a relaxed LiTl2CuTe4 crystal.

The structure in POSCAR format:
```
LiTl2CuTe4
1.0
6.394 0.000 0.000
0.000 6.394 0.000
0.000 0.000 13.082
Li Tl Cu Te
2 4 2 8
direct
0.000 0.000 0.000
0.500 0.500 0.500
0.000 0.000 0.500
0.000 0.500 0.750
0.500 0.000 0.250
0.500 0.500 0.000
0.000 0.500 0.250
0.500 0.000 0.750
0.214 0.260 0.129
0.240 0.714 0.371
0.260 0.786 0.871
0.286 0.240 0.629
0.714 0.760 0.629
0.740 0.214 0.871
0.760 0.286 0.371
0.786 0.740 0.129
```

## Properties
total DFT energy (no corrections) = -50.45 eV for the cell shown


[8]
VASP calculation (PBE) on a relaxed Ba2Si2Ni3 crystal.

The structure in POSCAR format:
```
Ba2Si2Ni3
1.0
2.038 1.177 10.607
-2.038 1.177 10.607
0.000 -2.354 10.607
Ba Si Ni
2 2 3
direct
0.000 0.000 0.000
0.493 0.493 0.493
0.245 0.245 0.245
0.744 0.744 0.744
0.402 0.402 0.402
0.589 0.589 0.589
0.902 0.902 0.902
```

## Properties
total moment = 0.329 μB per formula unit
total DFT energy (no corrections) = -33.62 eV for the cell shown


[9]
VASP calculation (PBE) on a relaxed Gd2ErMg3Ir2Pt crystal.

The structure in POSCAR format:
```
Gd2ErMg3Ir2Pt
1.0
4.039 0.000 0.000
0.000 6.350 3.671
0.000 -6.350 3.671
Gd Er Mg Ir Pt
2 1 3 2 1
direct
0.000 0.207 0.793
0.000 0.793 0.207
0.000 0.382 0.382
0.500 0.042 0.042
0.500 0.545 0.791
0.500 0.791 0.545
0.500 0.130 0.458
0.500 0.458 0.130
0.000 0.790 0.790
```

## Properties
total moment = 0.031 μB per formula unit
total DFT energy (no corrections) = -49.31 eV for the cell shown


[10]
VASP calculation (PBE) on a relaxed Cd2SiP4Pt crystal.

The structure in POSCAR format:
```
Cd2SiP4Pt
1.0
5.604 0.000 0.000
0.000 5.604 0.000
0.000 0.000 11.237
Cd Si P Pt
4 2 8 2
direct
0.000 0.000 0.000
0.000 0.500 0.250
0.500 0.000 0.750
0.500 0.500 0.500
0.000 0.500 0.750
0.500 0.000 0.250
0.204 0.250 0.628
0.250 0.704 0.872
0.250 0.796 0.372
0.296 0.250 0.128
0.704 0.750 0.128
0.750 0.204 0.372
0.750 0.296 0.872
0.796 0.750 0.628
0.000 0.000 0.500
0.500 0.500 0.000
```

## Properties
total moment = 0.001 μB per formula unit
total DFT energy (no corrections) = -71.14 eV for the cell shown


[11]
VASP calculation (PBE) on a relaxed TmZrPBr2 crystal.

The structure in POSCAR format:
```
TmZrPBr2
1.0
3.860 0.000 0.000
-1.930 3.343 0.000
0.000 0.000 10.223
Tm Zr P Br
1 1 1 2
direct
0.000 0.000 0.000
0.333 0.667 0.725
0.667 0.333 0.856
0.000 0.000 0.547
0.333 0.667 0.180
```

## Properties
total moment = 0.003 μB per formula unit
total DFT energy (no corrections) = -29.48 eV for the cell shown


[12]
VASP calculation (PBE) on a relaxed Sc2ZnCo crystal.

The structure in POSCAR format:
```
Sc2ZnCo
1.0
4.558 0.000 0.000
0.000 9.912 0.000
0.000 0.000 6.021
Sc Zn Co
8 4 4
direct
0.250 0.103 0.000
0.250 0.377 0.850
0.250 0.603 0.500
0.250 0.877 0.350
0.750 0.123 0.350
0.750 0.397 0.500
0.750 0.623 0.850
0.750 0.897 0.000
0.250 0.326 0.301
0.250 0.826 0.801
0.750 0.174 0.801
0.750 0.674 0.301
0.250 0.109 0.587
0.250 0.609 0.087
0.750 0.391 0.087
0.750 0.891 0.587
```

## Properties
total moment = 0.013 μB per formula unit
total DFT energy (no corrections) = -85.65 eV for the cell shown
calculated formation energy = -0.096 eV/atom